RbInOF2: optimized geometry, PBE.

SG: P4/mmm, No. 123
Theoretical density: 5.11 Mg/m³
DFT total energy: -23.44 eV per formula unit
ΔE to the lowest computed polymorph: 0 kJ/mol of formula units
ΔE_f (raw): -2207 meV/atom

Geometry as extended XYZ:
```
5
Lattice="4.526 0.000 0.000 0.000 4.526 0.000 0.000 0.000 4.031" Properties=species:S:1:pos:R:3 pbc="T T T"
Rb 0.000 0.000 0.000
In 2.263 2.263 2.016
O 2.263 2.263 0.000
F 0.000 2.263 2.016
F 2.263 0.000 2.016
```

AlTlHg2: optimized geometry, PBE.

SG: I-4m2, No. 119
Energy of formation: 0.186 eV per atom
Theoretical density: 10.39 Mg/m³
DFT total energy: -5.97 eV per formula unit

Geometry as extended XYZ:
```
4
Lattice="-2.210 2.210 5.175 2.210 -2.210 5.175 2.210 2.210 -5.175" Properties=species:S:1:pos:R:3 pbc="T T T"
Al 0.000 0.000 0.000
Tl 0.000 2.210 2.588
Hg 2.210 0.000 2.588
Hg 0.000 0.000 5.175
```

CsV3Cl: optimized geometry, PBE.

SG: Pm-3m, No. 221
Theoretical density: 5.31 Mg/m³
DFT total energy: -22.91 eV per formula unit
ΔE to the lowest computed polymorph: 0 kJ/mol of formula units
ΔE_f (raw): 1428 meV/atom

Geometry as extended XYZ:
```
5
Lattice="4.648 0.000 0.000 0.000 4.648 0.000 0.000 0.000 4.648" Properties=species:S:1:pos:R:3 pbc="T T T"
Cs 0.000 0.000 0.000
V 0.000 2.324 2.324
V 2.324 0.000 2.324
V 2.324 2.324 0.000
Cl 2.324 2.324 2.324
```

CsPmCuSe3: optimized geometry, PBE.

SG: P2_1/m, No. 11
Theoretical density: 4.88 Mg/m³
DFT total energy: -27.24 eV per formula unit
ΔE_f (raw): -1182 meV/atom

Geometry as extended XYZ:
```
12
Lattice="9.813 0.000 0.000 0.000 4.221 0.000 -3.570 0.000 9.508" Properties=species:S:1:pos:R:3 pbc="T T T"
Cs 1.177 1.055 2.357
Cs 5.066 3.166 7.151
Pm 0.136 3.166 8.168
Pm 6.107 1.055 1.340
Cu -1.357 1.055 5.831
Cu 7.600 3.166 3.677
Se -1.907 1.055 8.192
Se -0.267 3.166 5.172
Se 4.064 3.166 1.561
Se 2.179 1.055 7.948
Se 6.510 1.055 4.336
Se 8.151 3.166 1.316
```

P3RhC: optimized geometry, PBE.

SG: Pm-3m, No. 221
Energy of formation: 1.922 eV per atom
Theoretical density: 3.65 Mg/m³
DFT total energy: -23.19 eV per formula unit
ΔE to the lowest computed polymorph: 503 kJ/mol of formula units

Geometry as extended XYZ:
```
5
Lattice="4.557 0.000 0.000 0.000 4.557 0.000 0.000 0.000 4.557" Properties=species:S:1:pos:R:3 pbc="T T T"
P 0.000 0.000 2.278
P 0.000 2.278 0.000
P 2.278 0.000 0.000
Rh 0.000 0.000 0.000
C 2.278 2.278 2.278
```